First-principles (GGA-PBEsol) data for a relaxed structure of GaCuBr4, as listed in Alexandria.

Properties
Formation energy (no corrections)   -0.621 eV per atom
V   339.5 Å³/cell
Raw total energy   -3.147 eV/atom
Space-group type   No. 112

Cell lengths 5.7095, 5.7095, 10.4148 Å; angles 90.00, 90.00, 90.00 degrees
Last column: nearest neighbours and their distance in Å.
Fractional positions:
Cu1 0.0000 0.0000 0.0000  4 Br 2.41
Cu2 0.0000 0.0000 0.5000  4 Br 2.41
Ga1 0.0000 0.5000 0.2500  4 Br 2.36
Ga2 0.5000 0.0000 0.7500  4 Br 2.36
Br1 0.2631 0.2444 0.8779  1 Ga 2.36, 1 Cu 2.41
Br2 0.7369 0.7556 0.8779  1 Ga 2.36, 1 Cu 2.41
Br3 0.2444 0.2631 0.3779  1 Ga 2.36, 1 Cu 2.41
Br4 0.2631 0.7556 0.6221  1 Ga 2.36, 1 Cu 2.41
Br5 0.7369 0.2444 0.6221  1 Ga 2.36, 1 Cu 2.41
Br6 0.2444 0.7369 0.1221  1 Ga 2.36, 1 Cu 2.41
Br7 0.7556 0.2631 0.1221  1 Ga 2.36, 1 Cu 2.41
Br8 0.7556 0.7369 0.3779  1 Ga 2.36, 1 Cu 2.41



First-principles (GGA-PBEsol) data for a relaxed structure of Mg2BeTe, as listed in Alexandria.

Properties
Formation energy (no corrections)   0.170 eV per atom
V   81.9 Å³/cell
Relative energy among the computed polymorphs   0 meV/atom
Raw total energy   -2.570 eV/atom
Space-group type   No. 12

Cell lengths 3.6664, 4.8198, 4.8198 Å; angles 105.96, 89.90, 89.90 degrees
Last column: nearest neighbours and their distance in Å.
Fractional positions:
Be1 0.5000 0.0000 0.0000  2 Te 2.90, 8 Mg 3.03
Mg1 0.0000 0.5000 0.0000  2 Mg 2.90, 4 Te 3.03, 4 Be 3.03
Mg2 0.0000 0.0000 0.5000  2 Mg 2.90, 4 Be 3.03, 4 Te 3.03
Te1 0.5000 0.5000 0.5000  2 Be 2.90, 8 Mg 3.03



First-principles (GGA-PBEsol) data for a relaxed structure of LiMg2Al, as listed in Alexandria.

Properties
V   76.6 Å³/cell
Raw total energy   -2.415 eV/atom
Space-group type   No. 123

Cell lengths 3.7614, 4.5137, 4.5145 Å; angles 90.00, 90.00, 90.00 degrees
Last column: nearest neighbours and their distance in Å.
Fractional positions:
Mg1 0.0000 0.0000 0.0000  4 Al 2.94, 4 Li 2.94, 4 Mg 3.19
Mg2 0.0000 0.5000 0.5000  4 Li 2.94, 4 Al 2.94, 4 Mg 3.19
Al1 0.5000 0.5000 0.0000  8 Mg 2.94, 4 Li 3.19
Li1 0.5000 0.0000 0.5000  8 Mg 2.94, 4 Al 3.19



First-principles (GGA-PBEsol) data for a relaxed structure of K2SrBiP, as listed in Alexandria.

Properties
V   198.2 Å³/cell
Raw total energy   -2.804 eV/atom
Space-group type   No. 123

Cell lengths 5.5689, 5.9659, 5.9659 Å; angles 90.00, 90.00, 90.00 degrees
Last column: nearest neighbours and their distance in Å.
Fractional positions:
Sr1 0.5000 0.5000 0.5000  8 K 4.08, 4 Bi 4.22
K1 0.0000 0.0000 0.5000  2 P 2.98
K2 0.0000 0.5000 0.0000  2 P 2.98
Bi1 0.5000 0.0000 0.0000  2 P 2.78
P1 0.0000 0.0000 0.0000  2 Bi 2.78, 4 K 2.98